Entry 1:
VASP calculation (PBE) on a relaxed SmUTc2 crystal.

a b c (Å): 8.611 3.746 10.993
angles (deg): 90.00 90.00 90.00
Sites, in units of the cell vectors:
Sm 0.113 0.250 0.129
Sm 0.387 0.750 0.629
Sm 0.613 0.250 0.371
Sm 0.887 0.750 0.871
U 0.045 0.250 0.623
U 0.455 0.750 0.123
U 0.545 0.250 0.877
U 0.955 0.750 0.377
Tc 0.166 0.250 0.804
Tc 0.184 0.250 0.442
Tc 0.316 0.750 0.942
Tc 0.334 0.750 0.304
Tc 0.666 0.250 0.696
Tc 0.684 0.250 0.058
Tc 0.816 0.750 0.558
Tc 0.834 0.750 0.196

Summary:
DOS at the Fermi energy   0.95 states/eV per atom
ΔE_f   -0.065 eV per atom

Entry 2:
VASP calculation (PBE) on a relaxed Sm2U2Tc3 crystal.

a b c (Å): 6.134 7.305 7.192
angles (deg): 90.00 95.25 90.00
Sites, in units of the cell vectors:
Sm 0.154 0.156 0.174
Sm 0.154 0.344 0.674
Sm 0.846 0.656 0.326
Sm 0.846 0.844 0.826
U 0.357 0.698 0.011
U 0.357 0.802 0.511
U 0.643 0.198 0.489
U 0.643 0.302 0.989
Tc 0.000 0.000 0.500
Tc 0.000 0.500 0.000
Tc 0.351 0.531 0.330
Tc 0.351 0.969 0.830
Tc 0.649 0.031 0.170
Tc 0.649 0.469 0.670

Summary:
DOS at the Fermi energy   1.47 states/eV per atom
ΔE_f   -0.019 eV per atom

Entry 3:
VASP calculation (PBE) on a relaxed SmUTc2 crystal.

a b c (Å): 3.373 3.373 25.396
angles (deg): 90.00 90.00 120.00
Sites, in units of the cell vectors:
Sm 0.000 0.000 0.000
Sm 0.333 0.667 0.667
Sm 0.667 0.333 0.333
U 0.000 0.000 0.500
U 0.333 0.667 0.167
U 0.667 0.333 0.833
Tc 0.000 0.000 0.235
Tc 0.000 0.000 0.765
Tc 0.333 0.667 0.432
Tc 0.333 0.667 0.901
Tc 0.667 0.333 0.099
Tc 0.667 0.333 0.568

Summary:
DOS at the Fermi energy   1.08 states/eV per atom
ΔE_f   0.088 eV per atom

Entry 4:
VASP calculation (PBE) on a relaxed SmV2Tc crystal.

a b c (Å): 4.192 4.192 15.962
angles (deg): 90.00 90.00 120.00
Sites, in units of the cell vectors:
Sm 0.000 0.000 0.000
Sm 0.333 0.667 0.667
Sm 0.667 0.333 0.333
V 0.000 0.000 0.199
V 0.000 0.000 0.801
V 0.333 0.667 0.468
V 0.333 0.667 0.866
V 0.667 0.333 0.134
V 0.667 0.333 0.532
Tc 0.000 0.000 0.500
Tc 0.333 0.667 0.167
Tc 0.667 0.333 0.833

Summary:
DOS at the Fermi energy   0.65 states/eV per atom
ΔE_f   0.183 eV per atom